(1)
Entry from Alexandria: a relaxed structure of NbCuSi (PBE).

The space group is P1 (No. 1) and the conventional cell measures 4.600, 4.831 and 4.961 Å, with angles of 61.11, 69.59 and 71.95 degrees. The distinct sites, in fractional coordinates, are Nb at (0.000, 0.000, 0.000), Nb at (0.254, 0.617, 0.629), Cu at (0.597, 0.575, 0.042), Cu at (0.986, 0.367, 0.364), Si at (0.425, 0.112, 0.111) and Si at (0.590, 0.049, 0.576).

The calculation puts the volume at 89.11 Å³ per cell. The formation energy without anion corrections is -0.1318 eV/atom. The value obtained for the total DFT energy (no corrections) is -6.66 eV/atom.

=====

(2)
Entry from Alexandria: a relaxed structure of Ho7Ag2Pb2 (PBE).

The space group is Cmmm (No. 65) and the conventional cell measures 8.459, 11.205 and 7.102 Å, with angles of 90.00, 90.00 and 90.00 degrees. The distinct sites, in fractional coordinates, are Ho at (0.000, 0.000, 0.000), Ho at (0.000, 0.500, 0.244), Ho at (0.250, 0.250, 0.261), Ag at (0.000, 0.285, 0.000) and Pb at (0.184, 0.000, 0.500).

The calculation puts the volume at 673.21 Å³ per cell. The formation energy comes out at -0.026 eV per atom. The value obtained for the total DFT energy (no corrections) is -4.13 eV/atom.

=====

(3)
Entry from Alexandria: a relaxed structure of TlHgS14 (PBE).

The space group is C2/c (No. 15) and the conventional cell measures 26.063, 8.987 and 9.408 Å, with angles of 90.00, 109.89 and 90.00 degrees. The distinct sites, in fractional coordinates, are Tl at (0.000, 0.041, 0.250), Hg at (0.000, 0.500, 0.000), S at (0.053, 0.126, 0.029), S at (0.060, 0.360, 0.403), S at (0.135, 0.167, 0.116), S at (0.139, 0.435, 0.508), S at (0.172, 0.350, 0.723), S at (0.173, 0.020, 0.288) and S at (0.213, 0.152, 0.722).

The calculation puts the volume at 2072.06 Å³ per cell. The formation energy without anion corrections is 0.0112 eV/atom. The value obtained for the total DFT energy (no corrections) is -3.77 eV/atom.

=====

(4)
Entry from Alexandria: a relaxed structure of In2ReIr (PBE).

The space group is F-43m (No. 216) and the conventional cell measures 6.574, 6.574 and 6.574 Å, with angles of 90.00, 90.00 and 90.00 degrees. The distinct sites, in fractional coordinates, are In at (0.000, 0.000, 0.000), In at (0.250, 0.250, 0.250), Re at (0.000, 0.000, 0.500) and Ir at (0.250, 0.250, 0.750).

The calculation puts the volume at 284.07 Å³ per cell. The formation energy comes out at 0.643 eV per atom. The value obtained for the total DFT energy (no corrections) is -6.05 eV/atom.